# ReTe2IrN

Crystalline ReTe2IrN at its relaxed geometry (PBE, Alexandria via LeMat-Bulk).

Lattice parameters (Å, degrees): 5.2775 5.2775 3.6714 90.00 90.00 90.00
With the nearest neighbours (Å) after each atom.
Element x y z (fractional)
1 Re 0.0000 0.0000 0.0000  2 N 1.84
2 Te 0.0000 0.5000 0.0000  2 Re 2.64
3 Te 0.5000 0.0000 0.0000  2 Re 2.64
4 Ir 0.5000 0.5000 0.5000  8 Te 3.21
5 N 0.0000 0.0000 0.5000  2 Re 1.84

## Properties
Density ... 10.5 g cm⁻³
Crystal system ... tetragonal
ΔE_f (raw) ... 819 meV per atom

# ReTeIrN2

Crystalline ReTeIrN2 at its relaxed geometry (PBE, Alexandria via LeMat-Bulk).

Lattice parameters (Å, degrees): 3.8182 3.8182 5.9266 90.00 90.00 90.00
With the nearest neighbours (Å) after each atom.
Element x y z (fractional)
1 Re 0.0000 0.0000 0.0000  4 N 1.91
2 Te 0.0000 0.0000 0.5000  4 Ir 2.70, 2 Re 2.96
3 Ir 0.5000 0.5000 0.5000  4 Te 2.70
4 N 0.0000 0.5000 0.0000  2 Re 1.91
5 N 0.5000 0.0000 0.0000  2 Re 1.91

## Properties
Density ... 10.3 g cm⁻³
Crystal system ... tetragonal
ΔE_f (raw) ... 891 meV per atom

# TlReIrN2

Crystalline TlReIrN2 at its relaxed geometry (PBE, Alexandria via LeMat-Bulk).

Lattice parameters (Å, degrees): 3.8238 3.8238 5.6483 90.00 90.00 90.00
With the nearest neighbours (Å) after each atom.
Element x y z (fractional)
1 Tl 0.0000 0.0000 0.0000  4 Re 2.70
2 Re 0.5000 0.5000 0.0000  4 Tl 2.70, 2 Ir 2.82
3 Ir 0.5000 0.5000 0.5000  4 N 1.91
4 N 0.0000 0.5000 0.5000  2 Ir 1.91
5 N 0.5000 0.0000 0.5000  2 Ir 1.91

## Properties
Density ... 12.3 g cm⁻³
Crystal system ... tetragonal
ΔE_f (raw) ... 1458 meV per atom

# VReIrN2

Crystalline VReIrN2 at its relaxed geometry (PBE, Alexandria via LeMat-Bulk).

Lattice parameters (Å, degrees): 3.6437 3.6437 5.5358 90.00 90.00 90.00
With the nearest neighbours (Å) after each atom.
Element x y z (fractional)
1 V 0.0000 0.0000 0.0000  4 N 1.82
2 Re 0.0000 0.0000 0.5000  4 Ir 2.58, 2 V 2.77
3 Ir 0.5000 0.5000 0.5000  4 Re 2.58
4 N 0.0000 0.5000 0.0000  2 V 1.82
5 N 0.5000 0.0000 0.0000  2 V 1.82

## Properties
Density ... 10.3 g cm⁻³
Crystal system ... tetragonal
ΔE_f (raw) ... 1314 meV per atom

# Re2IrWN

Crystalline Re2IrWN at its relaxed geometry (PBE, Alexandria via LeMat-Bulk).

Lattice parameters (Å, degrees): 4.8532 4.8532 3.7211 90.00 90.00 90.00
With the nearest neighbours (Å) after each atom.
Element x y z (fractional)
1 Re 0.0000 0.5000 0.0000  2 W 2.43
2 Re 0.5000 0.0000 0.0000  2 W 2.43
3 Ir 0.0000 0.0000 0.5000  8 Re 3.06
4 W 0.5000 0.5000 0.0000  2 N 1.86
5 N 0.5000 0.5000 0.5000  2 W 1.86

## Properties
Density ... 14.4 g cm⁻³
Crystal system ... tetragonal
ΔE_f (raw) ... 2053 meV per atom

# Ir2Rh2N

Crystalline Ir2Rh2N at its relaxed geometry (PBE, Alexandria via LeMat-Bulk).

Lattice parameters (Å, degrees): 6.8128 6.8128 6.8128 150.12 150.12 42.77
With the nearest neighbours (Å) after each atom.
Element x y z (fractional)
1 Ir 0.2500 0.7500 0.5000  4 Ir 2.48, 4 Rh 2.63
2 Ir 0.7500 0.2500 0.5000  4 Ir 2.48, 4 Rh 2.63
3 Rh 0.0962 0.0962 0.0000  1 Rh 2.44, 4 Ir 2.63
4 Rh 0.9038 0.9038 0.0000  1 Rh 2.44, 4 Ir 2.63
5 N 0.5000 0.5000 0.0000  8 Rh 2.77

## Properties
Density ... 12.8 g cm⁻³
Crystal system ... tetragonal
ΔE_f (raw) ... 1388 meV per atom

# IrRhN2

Crystalline IrRhN2 at its relaxed geometry (PBE, Alexandria via LeMat-Bulk).

Lattice parameters (Å, degrees): 5.6800 5.6800 5.6800 131.76 131.76 70.61
With the nearest neighbours (Å) after each atom.
Element x y z (fractional)
1 Ir 0.0000 0.0000 0.0000  4 N 1.99
2 Ir 0.7500 0.2500 0.5000  4 N 1.99
3 Rh 0.2500 0.7500 0.5000  4 N 2.03
4 Rh 0.5000 0.5000 0.0000  4 N 2.03
5 N 0.1161 0.6250 0.9911  2 Ir 1.99, 2 Rh 2.03
6 N 0.3750 0.3661 0.4911  2 Ir 1.99, 2 Rh 2.03
7 N 0.6339 0.1250 0.0089  2 Ir 1.99, 2 Rh 2.03
8 N 0.8750 0.8839 0.5089  2 Ir 1.99, 2 Rh 2.03

## Properties
Density ... 10.7 g cm⁻³
Crystal system ... tetragonal
ΔE_f (raw) ... 610 meV per atom

# IrRhN2

Crystalline IrRhN2 at its relaxed geometry (PBE, Alexandria via LeMat-Bulk).

Lattice parameters (Å, degrees): 6.5708 6.5708 6.5708 25.24 25.24 25.24
With the nearest neighbours (Å) after each atom.
Element x y z (fractional)
1 Ir 0.0000 0.0000 0.0000  2 N 1.92
2 Rh 0.5000 0.5000 0.5000  6 N 2.08
3 N 0.1008 0.1008 0.1008  1 Ir 1.92, 3 Rh 2.08
4 N 0.8992 0.8992 0.8992  1 Ir 1.92, 3 Rh 2.08

## Properties
Density ... 11.8 g cm⁻³
Crystal system ... trigonal
ΔE_f (raw) ... 604 meV per atom

# Ir2RhN

Crystalline Ir2RhN at its relaxed geometry (PBE, Alexandria via LeMat-Bulk).

Lattice parameters (Å, degrees): 5.2309 5.2309 5.2309 107.51 107.51 113.46
With the nearest neighbours (Å) after each atom.
Element x y z (fractional)
1 Ir 0.0246 0.1250 0.3996  2 N 1.94
2 Ir 0.3750 0.9754 0.1004  2 N 1.94
3 Ir 0.7254 0.6250 0.6004  2 N 1.94
4 Ir 0.8750 0.2746 0.8996  2 N 1.94
5 Rh 0.2500 0.7500 0.5000  8 Ir 2.76-2.81, 2 N 2.87
6 Rh 0.5000 0.5000 0.0000  8 Ir 2.76-2.81, 2 N 2.87
7 N 0.0000 0.0000 0.0000  4 Ir 1.94
8 N 0.7500 0.2500 0.5000  4 Ir 1.94

## Properties
Density ... 15.2 g cm⁻³
Crystal system ... tetragonal
ΔE_f (raw) ... 614 meV per atom

# Ir2Rh2N

Crystalline Ir2Rh2N at its relaxed geometry (PBE, Alexandria via LeMat-Bulk).

Lattice parameters (Å, degrees): 5.3192 5.3192 4.9380 90.00 90.00 90.00
With the nearest neighbours (Å) after each atom.
Element x y z (fractional)
1 Ir 0.1710 0.3290 0.0000  5 Ir 2.57-2.79, 2 Rh 2.69
2 Ir 0.3290 0.8290 0.0000  5 Ir 2.57-2.79, 2 Rh 2.69
3 Ir 0.6710 0.1710 0.0000  5 Ir 2.57-2.79, 2 Rh 2.69
4 Ir 0.8290 0.6710 0.0000  5 Ir 2.57-2.79, 2 Rh 2.69
5 Rh 0.1864 0.6864 0.5000  2 N 1.94
6 Rh 0.3136 0.1864 0.5000  2 N 1.94
7 Rh 0.6864 0.8136 0.5000  2 N 1.94
8 Rh 0.8136 0.3136 0.5000  2 N 1.94
9 N 0.0000 0.0000 0.5000  4 Rh 1.94
10 N 0.5000 0.5000 0.5000  4 Rh 1.94

## Properties
Density ... 14.4 g cm⁻³
Crystal system ... tetragonal
ΔE_f (raw) ... 662 meV per atom

# Ir3RhN

Crystalline Ir3RhN at its relaxed geometry (PBE, Alexandria via LeMat-Bulk).

Lattice parameters (Å, degrees): 4.7466 4.7466 4.7466 90.00 90.00 90.00
With the nearest neighbours (Å) after each atom.
Element x y z (fractional)
1 Ir 0.0000 0.0000 0.5000  2 Rh 2.37
2 Ir 0.0000 0.5000 0.0000  2 Rh 2.37
3 Ir 0.5000 0.0000 0.0000  2 Rh 2.37
4 Rh 0.0000 0.0000 0.0000  6 Ir 2.37
5 N 0.5000 0.5000 0.5000  12 Ir 3.36

## Properties
Density ... 10.8 g cm⁻³
Crystal system ... cubic
ΔE_f (raw) ... 3119 meV per atom

# Ir3RhN

Crystalline Ir3RhN at its relaxed geometry (PBE, Alexandria via LeMat-Bulk).

Lattice parameters (Å, degrees): 4.0747 4.0747 4.0747 90.00 90.00 90.00
With the nearest neighbours (Å) after each atom.
Element x y z (fractional)
1 Ir 0.0000 0.0000 0.5000  2 N 2.04
2 Ir 0.0000 0.5000 0.0000  2 N 2.04
3 Ir 0.5000 0.0000 0.0000  2 N 2.04
4 Rh 0.5000 0.5000 0.5000  12 Ir 2.88
5 N 0.0000 0.0000 0.0000  6 Ir 2.04

## Properties
Density ... 17.0 g cm⁻³
Crystal system ... cubic
ΔE_f (raw) ... 700 meV per atom

# IrRhN3

Crystalline IrRhN3 at its relaxed geometry (PBE, Alexandria via LeMat-Bulk).

Lattice parameters (Å, degrees): 3.8405 3.8405 3.8405 90.00 90.00 90.00
With the nearest neighbours (Å) after each atom.
Element x y z (fractional)
1 Ir 0.0000 0.0000 0.0000  6 N 1.92
2 Rh 0.5000 0.5000 0.5000  12 N 2.72
3 N 0.0000 0.0000 0.5000  2 Ir 1.92
4 N 0.0000 0.5000 0.0000  2 Ir 1.92
5 N 0.5000 0.0000 0.0000  2 Ir 1.92

## Properties
Density ... 9.9 g cm⁻³
Crystal system ... cubic
ΔE_f (raw) ... 1676 meV per atom

# IrRhN3

Crystalline IrRhN3 at its relaxed geometry (PBE, Alexandria via LeMat-Bulk).

Lattice parameters (Å, degrees): 3.8324 3.8324 3.8324 90.00 90.00 90.00
With the nearest neighbours (Å) after each atom.
Element x y z (fractional)
1 Ir 0.0000 0.0000 0.0000  12 N 2.71
2 Rh 0.5000 0.5000 0.5000  6 N 1.92
3 N 0.0000 0.5000 0.5000  2 Rh 1.92
4 N 0.5000 0.0000 0.5000  2 Rh 1.92
5 N 0.5000 0.5000 0.0000  2 Rh 1.92

## Properties
Density ... 9.9 g cm⁻³
Crystal system ... cubic
ΔE_f (raw) ... 2116 meV per atom